# 1
Here is crystalline Th2AlSe at its relaxed geometry from Alexandria via LeMat-Bulk. Energies are from GGA-PBE.

Summary:
Distance to the lowest polymorph of the same formula   0.0 kJ/mol of atoms
Formation energy (no corrections)   -801 meV per atom

Cell: 3.5322 3.5322 8.0863 Å, 90.00 90.00 90.00°
Atoms (fractional coordinates):
Th (0.0000, 0.0000, 0.2431)
Th (0.0000, 0.0000, 0.7569)
Al (0.5000, 0.5000, 0.5000)
Se (0.5000, 0.5000, 0.0000)

***

# 2
Here is crystalline Dy2MgSi at its relaxed geometry from Alexandria via LeMat-Bulk. Energies are from GGA-PBE.

Summary:
Formation energy (no corrections)   37 meV per atom

Cell: 10.6818 10.6818 10.6818 Å, 19.38 19.38 19.38°
Atoms (fractional coordinates):
Dy (0.1062, 0.1062, 0.1062)
Dy (0.8938, 0.8938, 0.8938)
Mg (0.0000, 0.0000, 0.0000)
Si (0.5000, 0.5000, 0.5000)

***

# 3
Here is crystalline Sr3Nd2YTe6 at its relaxed geometry from Alexandria via LeMat-Bulk. Energies are from GGA-PBE.

Summary:
Formation energy (no corrections)   -1540 meV per atom

Cell: 10.3172 10.3172 9.2536 Å, 104.49 104.49 25.40°
Atoms (fractional coordinates):
Sr (0.0000, 0.0000, 0.0000)
Sr (0.3315, 0.3315, 0.6650)
Sr (0.6685, 0.6685, 0.3350)
Nd (0.3302, 0.3302, 0.1598)
Nd (0.6698, 0.6698, 0.8402)
Y (0.0000, 0.0000, 0.5000)
Te (0.1609, 0.1609, 0.5880)
Te (0.1669, 0.1669, 0.0811)
Te (0.4978, 0.4978, 0.2636)
Te (0.5022, 0.5022, 0.7364)
Te (0.8331, 0.8331, 0.9189)
Te (0.8391, 0.8391, 0.4120)

***

# 4
Here is crystalline Rb3InSn2 at its relaxed geometry from Alexandria via LeMat-Bulk. Energies are from GGA-PBE.

Summary:
ΔH_f (0 K)   -0.15 eV/atom

Cell: 7.4016 7.4016 15.0126 Å, 90.64 90.64 39.38°
Atoms (fractional coordinates):
Rb (0.1296, 0.1296, 0.0293)
Rb (0.3428, 0.3428, 0.4191)
Rb (0.3458, 0.3458, 0.7419)
Rb (0.6542, 0.6542, 0.2581)
Rb (0.6572, 0.6572, 0.5809)
Rb (0.8704, 0.8704, 0.9707)
In (0.0642, 0.0642, 0.7500)
In (0.9358, 0.9358, 0.2500)
Sn (0.0551, 0.0551, 0.4201)
Sn (0.3843, 0.3843, 0.1572)
Sn (0.6157, 0.6157, 0.8428)
Sn (0.9449, 0.9449, 0.5799)

***

# 5
Here is crystalline As2PbCSe at its relaxed geometry from Alexandria via LeMat-Bulk. Energies are from GGA-PBE.

Summary:
Distance to the lowest polymorph of the same formula   0.0 kJ/mol of atoms
Formation energy (no corrections)   987 meV per atom

Cell: 4.2215 4.2215 10.8431 Å, 90.00 90.00 90.00°
Atoms (fractional coordinates):
As (0.0000, 0.5000, 0.0000)
As (0.5000, 0.0000, 0.0000)
Pb (0.0000, 0.0000, 0.5000)
C (0.5000, 0.5000, 0.0000)
Se (0.5000, 0.5000, 0.5000)

***

# 6
Here is crystalline RbLiZn3 at its relaxed geometry from Alexandria via LeMat-Bulk. Energies are from GGA-PBE.

Summary:
ΔH_f (0 K)   0.23 eV/atom
Distance to the lowest polymorph of the same formula   0.0 kJ/mol of atoms

Cell: 5.1215 5.1215 5.1215 Å, 90.00 90.00 90.00°
Atoms (fractional coordinates):
Rb (0.0000, 0.0000, 0.0000)
Li (0.5000, 0.5000, 0.5000)
Zn (0.0000, 0.5000, 0.5000)
Zn (0.5000, 0.0000, 0.5000)
Zn (0.5000, 0.5000, 0.0000)

***

# 7
Here is crystalline BiPbSe3 at its relaxed geometry from Alexandria via LeMat-Bulk. Energies are from GGA-PBE.

Summary:
Distance to the lowest polymorph of the same formula   0.0 kJ/mol of atoms
Formation energy (no corrections)   -214 meV per atom

Cell: 6.6324 5.3404 11.1980 Å, 90.00 105.76 90.00°
Atoms (fractional coordinates):
Bi (0.1372, 0.2500, 0.1604)
Bi (0.8628, 0.7500, 0.8396)
Pb (0.2312, 0.2500, 0.6634)
Pb (0.7688, 0.7500, 0.3366)
Se (0.0182, 0.2500, 0.3822)
Se (0.0335, 0.2500, 0.8761)
Se (0.4387, 0.7500, 0.7529)
Se (0.5613, 0.2500, 0.2471)
Se (0.9665, 0.7500, 0.1239)
Se (0.9818, 0.7500, 0.6178)

***

# 8
Here is crystalline Sb4RuS at its relaxed geometry from Alexandria via LeMat-Bulk. Energies are from GGA-PBE.

Summary:
Formation energy (no corrections)   7 meV per atom

Cell: 6.6412 6.7924 6.6784 Å, 90.00 92.43 90.00°
Atoms (fractional coordinates):
Sb (0.0684, 0.1460, 0.1464)
Sb (0.0684, 0.3540, 0.6464)
Sb (0.3640, 0.6299, 0.1093)
Sb (0.3640, 0.8701, 0.6093)
Sb (0.6360, 0.1299, 0.3907)
Sb (0.6360, 0.3701, 0.8907)
Sb (0.9316, 0.6460, 0.3536)
Sb (0.9316, 0.8540, 0.8536)
Ru (0.0000, 0.0000, 0.5000)
Ru (0.0000, 0.5000, 0.0000)
S (0.5000, 0.0000, 0.0000)
S (0.5000, 0.5000, 0.5000)